A plane-wave DFT calculation with PBE+U was carried out for a relaxed structure of YNpNiO6.

Lattice parameters (Å, degrees): 5.300 5.300 9.974 90.00 90.00 120.00
Sites, in units of the cell vectors:
Y 0.000 0.000 0.000
Y 0.000 0.000 0.500
Np 0.333 0.667 0.250
Np 0.667 0.333 0.750
Ni 0.333 0.667 0.750
Ni 0.667 0.333 0.250
O 0.009 0.354 0.137
O 0.009 0.655 0.363
O 0.345 0.354 0.363
O 0.345 0.991 0.137
O 0.354 0.009 0.637
O 0.354 0.345 0.863
O 0.646 0.655 0.137
O 0.646 0.991 0.363
O 0.655 0.009 0.863
O 0.655 0.646 0.637
O 0.991 0.345 0.637
O 0.991 0.646 0.863

Properties
SG: P-31c (163)
Total DFT energy (no corrections), eV per atom: -8.252
Density, kg/m3: 6579